Record 1
First-principles (PBE) data for a relaxed structure of Tb2Dy3In, as listed in the Alexandria database.

a b c (Å): 6.414 5.738 6.655
angles (deg): 115.53 118.81 90.00
Positions (direct):
Tb (0.183, 0.807, 0.367)
Tb (0.817, 0.441, 0.633)
Dy (0.656, 0.779, 0.311)
Dy (0.344, 0.468, 0.689)
Dy (0.000, 0.124, 0.000)
In (0.500, 0.123, 0.000)

Values from the calculation:
Total magnetic moment (μB/f.u.): 0.00
Calculated formation energy (eV per atom): 0.21
Calculated volume (Å³/cell): 186.85
Energy above the most stable polymorph in this dataset (eV per atom): 0.3688


Record 2
First-principles (PBE) data for a relaxed structure of Cs2KReSe, as listed in the Alexandria database.

a b c (Å): 5.764 6.277 5.764
angles (deg): 90.00 90.00 90.00
Positions (direct):
Re (0.000, 0.000, 0.000)
Se (0.500, 0.500, 0.500)
Cs (0.000, 0.000, 0.500)
Cs (0.500, 0.000, 0.000)
K (0.000, 0.500, 0.000)

Values from the calculation:
ΔE_f (raw) (eV/atom): 1.095
Total magnetic moment (μB/f.u.): 2.01
Calculated volume (Å³/cell): 208.59


Record 3
First-principles (PBE) data for a relaxed structure of La3Al4In2, as listed in the Alexandria database.

a b c (Å): 4.752 6.170 9.116
angles (deg): 109.47 90.00 112.65
Positions (direct):
Al (0.051, 0.103, 0.390)
Al (0.733, 0.466, 0.058)
Al (0.949, 0.897, 0.610)
Al (0.267, 0.534, 0.942)
La (0.663, 0.326, 0.669)
La (0.337, 0.674, 0.331)
La (0.000, 0.000, 0.000)
In (0.619, 0.238, 0.282)
In (0.381, 0.762, 0.718)

Values from the calculation:
Total magnetic moment (μB/f.u.): 0.00
Calculated formation energy (eV per atom): -0.46
Calculated volume (Å³/cell): 230.07


Record 4
First-principles (PBE) data for a relaxed structure of AlTlTe2, as listed in the Alexandria database.

a b c (Å): 7.117 7.020 7.264
angles (deg): 75.22 60.67 58.62
Positions (direct):
Te (0.164, 0.888, 0.099)
Te (0.815, 0.574, 0.099)
Te (0.323, 0.187, 0.423)
Te (0.647, 0.187, 0.775)
Al (0.224, 0.235, 0.099)
Al (0.754, 0.985, 0.099)
Tl (0.265, 0.685, 0.533)
Tl (0.700, 0.683, 0.665)

Values from the calculation:
ΔE_f (raw) (eV/atom): -0.431
Total magnetic moment (μB/f.u.): 0.00
Calculated volume (Å³/cell): 270.12


Record 5
First-principles (PBE) data for a relaxed structure of Ta2ZnHg, as listed in the Alexandria database.

a b c (Å): 4.176 2.925 6.536
angles (deg): 62.55 90.00 90.00
Positions (direct):
Ta (0.000, 0.520, 0.488)
Ta (0.000, 0.980, 0.012)
Zn (0.500, 0.250, 0.250)
Hg (0.500, 0.750, 0.750)

Values from the calculation:
Total magnetic moment (μB/f.u.): 0.00
Calculated formation energy (eV per atom): 0.22
Calculated volume (Å³/cell): 70.85
Energy above the most stable polymorph in this dataset (eV per atom): 0.0910


Record 6
First-principles (PBE) data for a relaxed structure of V2InPt, as listed in the Alexandria database.

a b c (Å): 7.242 7.242 5.788
angles (deg): 51.27 51.27 90.00
Positions (direct):
V (0.659, 0.125, 0.250)
V (0.875, 0.909, 0.750)
V (0.091, 0.625, 0.250)
V (0.375, 0.341, 0.750)
In (0.250, 0.750, 0.500)
In (0.500, 0.500, 0.000)
Pt (0.000, 0.000, 0.000)
Pt (0.750, 0.250, 0.500)

Values from the calculation:
Total magnetic moment (μB/f.u.): 0.00
Calculated formation energy (eV per atom): 0.29
Calculated volume (Å³/cell): 141.42


Record 7
First-principles (PBE) data for a relaxed structure of Ce2PRu3, as listed in the Alexandria database.

a b c (Å): 4.984 4.984 4.984
angles (deg): 68.63 68.63 68.63
Positions (direct):
Ce (0.629, 0.629, 0.629)
Ce (0.371, 0.371, 0.371)
Ru (0.500, 0.000, 0.000)
Ru (0.000, 0.000, 0.500)
Ru (0.000, 0.500, 0.000)
P (0.000, 0.000, 0.000)

Values from the calculation:
Total magnetic moment (μB/f.u.): 0.00
Calculated formation energy (eV per atom): -0.66
Calculated volume (Å³/cell): 103.46


Record 8
First-principles (PBE) data for a relaxed structure of Ce4MgOs, as listed in the Alexandria database.

a b c (Å): 5.863 9.379 7.448
angles (deg): 119.05 99.39 111.46
Positions (direct):
Ce (0.366, 0.940, 0.623)
Ce (0.252, 0.629, 0.772)
Ce (0.634, 0.060, 0.377)
Ce (0.757, 0.683, 0.623)
Ce (0.243, 0.317, 0.377)
Ce (0.980, 0.857, 0.228)
Ce (0.748, 0.371, 0.228)
Ce (0.020, 0.143, 0.772)
Mg (0.656, 0.406, 0.813)
Mg (0.344, 0.594, 0.187)
Os (0.254, 0.004, 0.009)
Os (0.746, 0.996, 0.991)

Values from the calculation:
Total magnetic moment (μB/f.u.): 0.72
Calculated formation energy (eV per atom): -0.06
Calculated volume (Å³/cell): 302.56
Energy above the most stable polymorph in this dataset (eV per atom): 0.0000


Record 9
First-principles (PBE) data for a relaxed structure of KBPt, as listed in the Alexandria database.

a b c (Å): 6.409 3.192 6.318
angles (deg): 97.76 65.07 84.10
Positions (direct):
B (0.492, 0.227, 0.938)
B (0.508, 0.773, 0.062)
Pt (0.503, 0.654, 0.714)
Pt (0.497, 0.346, 0.286)
K (0.036, 0.184, 0.734)
K (0.964, 0.816, 0.266)

Values from the calculation:
Total magnetic moment (μB/f.u.): 0.00
Calculated formation energy (eV per atom): -0.11
Calculated volume (Å³/cell): 114.29
Energy above the most stable polymorph in this dataset (eV per atom): 0.0194


Record 10
First-principles (PBE) data for a relaxed structure of NaLaBiRh, as listed in the Alexandria database.

a b c (Å): 5.049 5.049 5.049
angles (deg): 60.00 60.00 60.00
Positions (direct):
La (0.000, 0.000, 0.000)
Na (0.250, 0.250, 0.250)
Bi (0.500, 0.500, 0.500)
Rh (0.750, 0.750, 0.750)

Values from the calculation:
Total magnetic moment (μB/f.u.): 0.00
Calculated formation energy (eV per atom): -0.49
Calculated volume (Å³/cell): 91.02


Record 11
First-principles (PBE) data for a relaxed structure of BeCd2Br, as listed in the Alexandria database.

a b c (Å): 3.563 3.563 8.090
angles (deg): 77.16 77.16 59.81
Positions (direct):
Be (0.750, 0.750, 0.750)
Cd (0.013, 0.013, 0.960)
Cd (0.487, 0.487, 0.540)
Br (0.250, 0.250, 0.250)

Values from the calculation:
ΔE_f (raw) (eV/atom): 0.128
Total magnetic moment (μB/f.u.): 0.00
Calculated volume (Å³/cell): 85.79
Energy above the most stable polymorph in this dataset (eV per atom): 0.0550


Record 12
First-principles (PBE) data for a relaxed structure of SnTeMo2Ru, as listed in the Alexandria database.

a b c (Å): 4.955 4.803 4.955
angles (deg): 90.00 90.00 90.00
Positions (direct):
Te (0.000, 0.000, 0.000)
Sn (0.500, 0.500, 0.500)
Mo (0.500, 0.000, 0.000)
Mo (0.000, 0.000, 0.500)
Ru (0.000, 0.500, 0.000)

Values from the calculation:
ΔE_f (raw) (eV/atom): 1.520
Total magnetic moment (μB/f.u.): 1.82
Calculated volume (Å³/cell): 117.92


We obtain E_tot values of -4.09; -2.65; -4.38; -3.53; -6.10; -6.47; -8.18; -6.15; -4.71; -4.86; -1.68; -6.10 eV/atom for the records listed above, in that order.